[1]
Here is Pr6PdRh3 after structural relaxation from Alexandria via LeMat-Bulk. Energies are from PBE. Values from VASP.

Structure (Quantum ESPRESSO input):
```
&SYSTEM
  ibrav = 0, nat = 20, ntyp = 3
/
ATOMIC_SPECIES
Pr 140.91 Pr.upf
Pd 106.42 Pd.upf
Rh 102.91 Rh.upf
CELL_PARAMETERS angstrom
5.5612 -7.2277 0.0000
5.5612 7.2277 0.0000
0.0000 0.0000 7.2210
ATOMIC_POSITIONS crystal
Pr 0.0124 0.9876 0.5000
Pr 0.1061 0.5545 0.5739
Pr 0.2339 0.7661 0.1437
Pr 0.2965 0.3582 0.1262
Pr 0.3582 0.2965 0.6262
Pr 0.4455 0.8939 0.5739
Pr 0.5545 0.1061 0.0739
Pr 0.6418 0.7035 0.1262
Pr 0.7035 0.6418 0.6262
Pr 0.7661 0.2339 0.6437
Pr 0.8939 0.4455 0.0739
Pr 0.9876 0.0124 0.0000
Pd 0.1574 0.8426 0.7755
Pd 0.8426 0.1574 0.2755
Rh 0.0692 0.2996 0.8125
Rh 0.2996 0.0692 0.3125
Rh 0.4009 0.5991 0.3972
Rh 0.5991 0.4009 0.8972
Rh 0.7004 0.9308 0.8125
Rh 0.9308 0.7004 0.3125
```

[2]
! PBE Pr3PdRh, optimized geometry; values from VASP
&SYSTEM
  ibrav = 0, nat = 20, ntyp = 3
/
ATOMIC_SPECIES
Pr 140.91 Pr.upf
Pd 106.42 Pd.upf
Rh 102.91 Rh.upf
CELL_PARAMETERS angstrom
9.0135 0.0000 0.0000
0.0000 7.5031 0.0000
-2.3867 0.0000 8.2042
ATOMIC_POSITIONS crystal
Pr 0.0462 0.0055 0.2189
Pr 0.0462 0.4945 0.7189
Pr 0.2849 0.6523 0.1103
Pr 0.2849 0.8477 0.6103
Pr 0.3516 0.1823 0.0018
Pr 0.3516 0.3177 0.5018
Pr 0.6484 0.6823 0.4982
Pr 0.6484 0.8177 0.9982
Pr 0.7151 0.1523 0.3897
Pr 0.7151 0.3477 0.8897
Pr 0.9538 0.5055 0.2811
Pr 0.9538 0.9945 0.7811
Pd 0.4101 0.5367 0.8216
Pd 0.4101 0.9633 0.3216
Pd 0.5899 0.0367 0.6784
Pd 0.5899 0.4633 0.1784
Rh 0.0605 0.1878 0.5206
Rh 0.0605 0.3122 0.0206
Rh 0.9395 0.6878 0.9794
Rh 0.9395 0.8122 0.4794
! - energy above the lowest structure with this stoichiometry (meV/atom) = 0

[3]
! PBE PrSbPdRh, optimized geometry; values from VASP
&SYSTEM
  ibrav = 0, nat = 4, ntyp = 4
/
ATOMIC_SPECIES
Pr 140.91 Pr.upf
Sb 121.76 Sb.upf
Pd 106.42 Pd.upf
Rh 102.91 Rh.upf
CELL_PARAMETERS angstrom
0.0000 3.4507 3.4507
3.4507 0.0000 3.4507
3.4507 3.4507 0.0000
ATOMIC_POSITIONS crystal
Pr 0.0000 0.0000 0.0000
Sb 0.5000 0.5000 0.5000
Pd 0.2500 0.2500 0.2500
Rh 0.7500 0.7500 0.7500
! - E_form (uncorrected) (eV per atom) = -0.6434
! - energy above the lowest structure with this stoichiometry (meV/atom) = 0

[4]
! PBE Pr2Sb3PdRh4, optimized geometry; values from VASP
&SYSTEM
  ibrav = 0, nat = 10, ntyp = 4
/
ATOMIC_SPECIES
Pr 140.91 Pr.upf
Sb 121.76 Sb.upf
Pd 106.42 Pd.upf
Rh 102.91 Rh.upf
CELL_PARAMETERS angstrom
4.3135 0.0000 0.0000
0.0000 4.3135 0.0000
0.0000 0.0000 11.2942
ATOMIC_POSITIONS crystal
Pr 0.0000 0.5000 0.2331
Pr 0.5000 0.0000 0.7669
Sb 0.0000 0.0000 0.0000
Sb 0.0000 0.5000 0.6326
Sb 0.5000 0.0000 0.3674
Pd 0.5000 0.5000 0.0000
Rh 0.0000 0.0000 0.5000
Rh 0.0000 0.5000 0.8575
Rh 0.5000 0.0000 0.1425
Rh 0.5000 0.5000 0.5000
! - E_form (uncorrected) (eV per atom) = -0.7530

[5]
! PBE PrSbPdRh, optimized geometry; values from VASP
&SYSTEM
  ibrav = 0, nat = 4, ntyp = 4
/
ATOMIC_SPECIES
Pr 140.91 Pr.upf
Sb 121.76 Sb.upf
Pd 106.42 Pd.upf
Rh 102.91 Rh.upf
CELL_PARAMETERS angstrom
4.4855 -2.0400 0.0000
4.4855 2.0400 0.0000
-1.6837 0.0000 4.8596
ATOMIC_POSITIONS crystal
Pr 0.0000 0.0000 0.0000
Sb 0.7710 0.7710 0.3722
Pd 0.2122 0.2122 0.6605
Rh 0.4876 0.4876 0.5017
! - E_form (uncorrected) (eV per atom) = -0.6366
! - energy above the lowest structure with this stoichiometry (meV/atom) = 7

[6]
! PBE Pr2Sb4Pd3Rh, optimized geometry; values from VASP
&SYSTEM
  ibrav = 0, nat = 10, ntyp = 4
/
ATOMIC_SPECIES
Pr 140.91 Pr.upf
Sb 121.76 Sb.upf
Pd 106.42 Pd.upf
Rh 102.91 Rh.upf
CELL_PARAMETERS angstrom
4.6279 0.0000 0.0000
0.0000 4.6279 0.0000
0.0000 0.0000 10.6355
ATOMIC_POSITIONS crystal
Pr 0.0000 0.5000 0.2374
Pr 0.5000 0.0000 0.7626
Sb 0.0000 0.0000 0.5000
Sb 0.0000 0.5000 0.8748
Sb 0.5000 0.0000 0.1252
Sb 0.5000 0.5000 0.5000
Pd 0.0000 0.0000 0.0000
Pd 0.0000 0.5000 0.6305
Pd 0.5000 0.0000 0.3695
Rh 0.5000 0.5000 0.0000
! - E_form (uncorrected) (eV per atom) = -0.8019

[7]
! PBE PrSi2PdRh, optimized geometry; values from VASP
&SYSTEM
  ibrav = 0, nat = 5, ntyp = 4
/
ATOMIC_SPECIES
Pr 140.91 Pr.upf
Si 28.09 Si.upf
Pd 106.42 Pd.upf
Rh 102.91 Rh.upf
CELL_PARAMETERS angstrom
-2.0771 2.0771 5.1034
2.0771 -2.0771 5.1034
2.0771 2.0771 -5.1034
ATOMIC_POSITIONS crystal
Pr 0.0000 0.0000 0.0000
Si 0.3806 0.3806 0.0000
Si 0.6194 0.6194 0.0000
Pd 0.2500 0.7500 0.5000
Rh 0.7500 0.2500 0.5000
! - E_form (uncorrected) (eV per atom) = -0.9624

[8]
! PBE PrSmPdRh, optimized geometry; values from VASP
&SYSTEM
  ibrav = 0, nat = 4, ntyp = 4
/
ATOMIC_SPECIES
Pr 140.91 Pr.upf
Sm 150.36 Sm.upf
Pd 106.42 Pd.upf
Rh 102.91 Rh.upf
CELL_PARAMETERS angstrom
4.5073 0.0000 0.0000
0.0000 1.9357 5.4173
0.0000 -1.9357 5.4173
ATOMIC_POSITIONS crystal
Pr 0.0000 0.0000 0.0000
Sm 0.5000 0.2772 0.2772
Pd 0.5000 0.5583 0.5583
Rh 0.0000 0.7319 0.7319
! - energy above the lowest structure with this stoichiometry (meV/atom) = 0

[9]
! PBE PrSmPdRh, optimized geometry; values from VASP
&SYSTEM
  ibrav = 0, nat = 4, ntyp = 4
/
ATOMIC_SPECIES
Pr 140.91 Pr.upf
Sm 150.36 Sm.upf
Pd 106.42 Pd.upf
Rh 102.91 Rh.upf
CELL_PARAMETERS angstrom
0.0000 3.5718 3.5718
3.5718 0.0000 3.5718
3.5718 3.5718 0.0000
ATOMIC_POSITIONS crystal
Pr 0.0000 0.0000 0.0000
Sm 0.5000 0.5000 0.5000
Pd 0.7500 0.7500 0.7500
Rh 0.2500 0.2500 0.2500
! - energy above the lowest structure with this stoichiometry (meV/atom) = 50

[10]
Here is Pr2Sn4Pd3Rh after structural relaxation from Alexandria via LeMat-Bulk. Energies are from PBE. Values from VASP.

Structure (Quantum ESPRESSO input):
```
&SYSTEM
  ibrav = 0, nat = 10, ntyp = 4
/
ATOMIC_SPECIES
Pr 140.91 Pr.upf
Sn 118.71 Sn.upf
Pd 106.42 Pd.upf
Rh 102.91 Rh.upf
CELL_PARAMETERS angstrom
4.5450 0.0000 0.0000
0.0000 4.5450 0.0000
0.0000 0.0000 10.9149
ATOMIC_POSITIONS crystal
Pr 0.0000 0.5000 0.2428
Pr 0.5000 0.0000 0.7572
Sn 0.0000 0.0000 0.5000
Sn 0.0000 0.5000 0.8733
Sn 0.5000 0.0000 0.1267
Sn 0.5000 0.5000 0.5000
Pd 0.0000 0.0000 0.0000
Pd 0.0000 0.5000 0.6344
Pd 0.5000 0.0000 0.3656
Rh 0.5000 0.5000 0.0000
```

Number 1: M_tot 0.00 μB per formula unit, E -60.880 eV/f.u.. Number 2: M_tot 0.00 μB per formula unit, E -29.896 eV/f.u.. Number 3: M_tot 0.00 μB per formula unit, E -24.020 eV/f.u.. Number 4: M_tot 0.00 μB per formula unit, E -64.055 eV/f.u.. Number 5: M_tot 0.00 μB per formula unit, E -23.992 eV/f.u.. Number 6: M_tot 0.00 μB per formula unit, E -56.998 eV/f.u.. Number 7: M_tot 0.00 μB per formula unit, E -32.982 eV/f.u.. Number 8: M_tot 0.00 μB per formula unit, E -25.086 eV/f.u.. Number 9: M_tot 0.00 μB per formula unit, E -24.887 eV/f.u.. Number 10: M_tot 0.00 μB per formula unit, E -56.020 eV/f.u..